(1)
A plane-wave DFT calculation with PBE-GGA was carried out for a relaxed structure of SnOsS3.

```
SnOsS3
1.0
-0.481 4.782 -1.064
-4.705 -0.153 1.440
1.365 1.158 4.585
S Os Sn
3 1 1
Direct
0.000 0.500 0.000
0.000 0.000 0.500
0.500 0.000 0.000
0.500 0.500 0.500
0.000 0.000 0.000
```

Results
Energy relative to the lowest polymorph listed for this composition in meV per atom: 1201.3
M_tot in μB/f.u.: 4.85
Space-group type: Pm-3m (221)
Formation energy from raw total energies in eV/atom: 1.50
ρ in g/cm3: 5.64

(2)
A plane-wave DFT calculation with PBE-GGA was carried out for a relaxed structure of CdTcNF2.

```
CdTcNF2
1.0
-2.119 1.465 3.324
-3.408 0.529 -2.406
-1.355 -4.215 0.994
N F Tc Cd
1 2 1 1
Direct
0.000 0.000 0.500
0.000 0.500 0.000
0.500 0.000 0.000
0.500 0.500 0.500
0.000 0.000 0.000
```

Results
Energy relative to the lowest polymorph listed for this composition in meV per atom: 917.8
M_tot in μB/f.u.: 4.13
Space-group type: P4/mmm (123)
Formation energy from raw total energies in eV/atom: 0.30
ρ in g/cm3: 5.43

(3)
A plane-wave DFT calculation with PBE-GGA was carried out for a relaxed structure of RbLa2I.

```
RbLa2I
1.0
-3.235 -4.823 -8.167
4.493 -8.378 3.168
-2.329 -7.535 -0.776
I Rb La
2 2 4
Direct
0.000 0.000 0.000
0.750 0.250 0.500
0.500 0.500 0.000
0.250 0.750 0.500
0.694 0.125 0.250
0.056 0.625 0.250
0.375 0.306 0.750
0.875 0.944 0.750
```

Results
Energy relative to the lowest polymorph listed for this composition in meV per atom: 0.0
M_tot in μB/f.u.: 1.34
Space-group type: I-42d (122)
Formation energy from raw total energies in eV/atom: 0.02
ρ in g/cm3: 4.57

(4)
A plane-wave DFT calculation with PBE-GGA was carried out for a relaxed structure of Sm4DyCd2.

```
Sm4DyCd2
1.0
-1.793 -0.925 -5.189
-2.209 -4.931 -1.345
-9.257 0.994 0.034
Sm Dy Cd
4 1 2
Direct
0.737 0.737 0.790
0.870 0.870 0.390
0.263 0.263 0.210
0.130 0.130 0.610
0.500 0.500 0.500
0.617 0.617 0.150
0.383 0.383 0.850
```

Results
M_tot in μB/f.u.: 0.00
Formation energy from the elements in kcal/mol of atoms: 2.615
Space-group type: R-3m (166)
ρ in g/cm3: 7.00

(5)
A plane-wave DFT calculation with PBE-GGA was carried out for a relaxed structure of Ba2MnSi.

```
Ba2MnSi
1.0
-4.201 -8.616 -2.332
-2.551 -9.398 1.577
-6.374 -7.433 1.203
Ba Mn Si
2 1 1
Direct
0.007 0.007 0.007
0.493 0.493 0.493
0.250 0.250 0.250
0.750 0.750 0.750
```

Results
M_tot in μB/f.u.: 3.90
Space-group type: R-3m (166)
Formation energy from raw total energies in eV/atom: 0.53
ρ in g/cm3: 3.86

(6)
A plane-wave DFT calculation with PBE-GGA was carried out for a relaxed structure of PuV4Se8.

```
PuV4Se8
1.0
-3.112 -1.333 -6.313
-5.685 -4.345 -0.344
-6.973 3.324 -1.329
Pu V Se
1 4 8
Direct
0.500 0.500 0.500
0.000 0.500 0.000
0.500 0.500 0.000
0.500 0.000 0.000
0.000 0.000 0.000
0.751 0.237 0.774
0.763 0.249 0.226
0.249 0.763 0.226
0.763 0.763 0.226
0.740 0.740 0.781
0.260 0.260 0.219
0.237 0.237 0.774
0.237 0.751 0.774
```

Results
M_tot in μB/f.u.: 7.51
Space-group type: R-3m (166)
Formation energy from raw total energies in eV/atom: -0.81
ρ in g/cm3: 6.06

| no. | energy (eV/cell) |
| --- | --- |
| 1 | -20.14 |
| 2 | -21.85 |
| 3 | -24.57 |
| 4 | -24.52 |
| 5 | -16.31 |
| 6 | -89.26 |